The following is a PBE+U calculation of a relaxed structure of MnCdBO4, from Alexandria via LeMat-Bulk.

Values from the calculation:
Total moment (μB per atom): 0.57
Volume (Å³/atom): 10.95
Fermi-level density of states (states/eV per atom): 0.243
Raw total energy (eV/atom): -6.547

Geometry as CIF:
```
data_MnCdBO4
_chemical_formula_sum 'Mn4 Cd4 B4 O16'
_space_group_name_H-M_alt 'C m c m'
_space_group_IT_number 63
_space_group_name_Hall '-C 2c 2'
_cell_length_a 5.747
_cell_length_b 8.684
_cell_length_c 6.144
_cell_angle_alpha 90.00
_cell_angle_beta 90.00
_cell_angle_gamma 90.00
loop_
_atom_site_label
_atom_site_type_symbol
_atom_site_fract_x
_atom_site_fract_y
_atom_site_fract_z
_atom_site_occupancy
Mn1 Mn 0.000 0.170 0.250 1
Cd1 Cd 0.000 0.500 0.000 1
B1 B 0.000 0.131 0.750 1
O1 O 0.000 0.226 0.552 1
O2 O 0.207 0.021 0.750 1
```